Entry 1:
# SrTc3O

An optimized crystal structure of SrTc3O (PBE, the Alexandria database).

Values from the calculation:
**Offset from the most stable computed form**: 0.0 kJ per mole of atoms
**Raw formation energy**: 0.511 eV/atom

Cell lengths 4.3072, 4.3072, 4.3072 Å; angles 90.00, 90.00, 90.00 degrees
Fractional coordinates of all 5 atoms:
1 O 0.0000 0.0000 0.0000
2 Tc 0.5000 0.0000 0.0000
3 Tc 0.0000 0.5000 0.0000
4 Sr 0.5000 0.5000 0.5000
5 Tc 0.0000 0.0000 0.5000



Entry 2:
# NpAlAu2

An optimized crystal structure of NpAlAu2 (PBE, the Alexandria database).

Values from the calculation:
**Formation energy from the elements**: -24 meV/atom

Cell lengths 2.9528, 5.2636, 5.2636 Å; angles 90.00, 90.00, 90.00 degrees
Fractional coordinates of all 4 atoms:
1 Au 0.0000 0.0000 0.5000
2 Np 0.5000 0.5000 0.5000
3 Al 0.5000 0.0000 0.0000
4 Au 0.0000 0.5000 0.0000



Entry 3:
# LiLaTl2

An optimized crystal structure of LiLaTl2 (PBE, the Alexandria database).

Values from the calculation:
**Formation energy from the elements**: -211 meV/atom

Cell lengths 5.3466, 5.3466, 5.3466 Å; angles 60.00, 60.00, 60.00 degrees
Fractional coordinates of all 4 atoms:
1 Tl 0.2500 0.2500 0.2500
2 Tl 0.0000 0.0000 0.0000
3 La 0.5000 0.5000 0.5000
4 Li 0.7500 0.7500 0.7500



Number 1: energy -35.18 eV per formula unit. Number 2: energy -23.33 eV per formula unit. Number 3: energy -12.42 eV per formula unit.